Computed, not measured: a relaxed structure of CaLuPtRh at the PBE level of DFT. Values from VASP.

```
&SYSTEM
  ibrav = 0, nat = 16, ntyp = 4
/
ATOMIC_SPECIES
Ca 40.08 Ca.upf
Lu 174.97 Lu.upf
Pt 195.08 Pt.upf
Rh 102.91 Rh.upf
ATOMIC_POSITIONS crystal
Ca 0.0000 0.0000 0.0000
Ca 0.0000 0.5000 0.5000
Ca 0.5000 0.0000 0.5000
Ca 0.5000 0.5000 0.0000
Lu 0.0000 0.0000 0.5000
Lu 0.0000 0.5000 0.0000
Lu 0.5000 0.0000 0.0000
Lu 0.5000 0.5000 0.5000
Pt 0.2500 0.2500 0.2500
Pt 0.2500 0.7500 0.7500
Pt 0.7500 0.2500 0.7500
Pt 0.7500 0.7500 0.2500
Rh 0.2500 0.2500 0.7500
Rh 0.2500 0.7500 0.2500
Rh 0.7500 0.2500 0.2500
Rh 0.7500 0.7500 0.7500
CELL_PARAMETERS angstrom
6.8173 0.0000 0.0000
0.0000 6.8173 0.0000
0.0000 0.0000 6.8173
```

Calculated values
E = -93.66 eV per cell
Size of the total moment = 0.00 Bohr magnetons per cell
Space group = F-43m, No. 216
ΔE_f = -84 kJ/mol of atoms


Computed, not measured: a relaxed structure of CaLuSnPt at the PBE level of DFT. Values from VASP.

```
&SYSTEM
  ibrav = 0, nat = 16, ntyp = 4
/
ATOMIC_SPECIES
Ca 40.08 Ca.upf
Lu 174.97 Lu.upf
Sn 118.71 Sn.upf
Pt 195.08 Pt.upf
ATOMIC_POSITIONS crystal
Ca 0.0000 0.0000 0.0000
Ca 0.0000 0.5000 0.5000
Ca 0.5000 0.0000 0.5000
Ca 0.5000 0.5000 0.0000
Lu 0.0000 0.0000 0.5000
Lu 0.0000 0.5000 0.0000
Lu 0.5000 0.0000 0.0000
Lu 0.5000 0.5000 0.5000
Sn 0.2500 0.2500 0.2500
Sn 0.2500 0.7500 0.7500
Sn 0.7500 0.2500 0.7500
Sn 0.7500 0.7500 0.2500
Pt 0.2500 0.2500 0.7500
Pt 0.2500 0.7500 0.2500
Pt 0.7500 0.2500 0.2500
Pt 0.7500 0.7500 0.7500
CELL_PARAMETERS angstrom
7.1984 0.0000 0.0000
0.0000 7.1984 0.0000
0.0000 0.0000 7.1984
```

Calculated values
E = -78.62 eV per cell
Size of the total moment = 0.00 Bohr magnetons per cell
Space group = F-43m, No. 216
ΔE_f = -74 kJ/mol of atoms


Computed, not measured: a relaxed structure of CaLu2Pu at the PBE level of DFT. Values from VASP.

```
&SYSTEM
  ibrav = 0, nat = 4, ntyp = 3
/
ATOMIC_SPECIES
Ca 40.08 Ca.upf
Lu 174.97 Lu.upf
Pu 244.00 Pu.upf
ATOMIC_POSITIONS crystal
Ca 0.0000 0.0000 0.0000
Lu 0.5000 0.5000 0.2753
Lu 0.5000 0.5000 0.7247
Pu 0.0000 0.0000 0.5000
CELL_PARAMETERS angstrom
3.5129 0.0000 0.0000
0.0000 3.5129 0.0000
0.0000 0.0000 10.1147
```

Calculated values
E = -24.81 eV per cell
Size of the total moment = 6.41 Bohr magnetons per cell
Energy above the lowest structure with this stoichiometry = 0.0 kJ/mol of atoms
Space group = P4/mmm, No. 123
ΔE_f = 14 kJ/mol of atoms


Computed, not measured: a relaxed structure of CaLuPu at the PBE level of DFT. Values from VASP.

```
&SYSTEM
  ibrav = 0, nat = 6, ntyp = 3
/
ATOMIC_SPECIES
Ca 40.08 Ca.upf
Lu 174.97 Lu.upf
Pu 244.00 Pu.upf
ATOMIC_POSITIONS crystal
Ca 0.0000 0.0000 0.0000
Ca 0.5000 0.5000 0.5000
Lu 0.0000 0.0000 0.3216
Lu 0.5000 0.5000 0.8216
Pu 0.0000 0.0000 0.6734
Pu 0.5000 0.5000 0.1734
CELL_PARAMETERS angstrom
3.4909 0.0000 0.0000
0.0000 3.4909 0.0000
0.0000 0.0000 15.6939
```

Calculated values
E = -40.40 eV per cell
Size of the total moment = 13.37 Bohr magnetons per cell
Space group = I4mm, No. 107
ΔE_f = 21 kJ/mol of atoms


Computed, not measured: a relaxed structure of CaLu2Pu at the PBE level of DFT. Values from VASP.

```
&SYSTEM
  ibrav = 0, nat = 12, ntyp = 3
/
ATOMIC_SPECIES
Ca 40.08 Ca.upf
Lu 174.97 Lu.upf
Pu 244.00 Pu.upf
ATOMIC_POSITIONS crystal
Ca 0.0000 0.0000 0.0000
Ca 0.3333 0.6667 0.6667
Ca 0.6667 0.3333 0.3333
Lu 0.0000 0.0000 0.0916
Lu 0.0000 0.0000 0.9084
Lu 0.3333 0.6667 0.5751
Lu 0.3333 0.6667 0.7582
Lu 0.6667 0.3333 0.2418
Lu 0.6667 0.3333 0.4249
Pu 0.0000 0.0000 0.5000
Pu 0.3333 0.6667 0.1667
Pu 0.6667 0.3333 0.8333
CELL_PARAMETERS angstrom
3.4403 0.0000 0.0000
-1.7202 2.9794 0.0000
0.0000 0.0000 36.5939
```

Calculated values
E = -73.07 eV per cell
Size of the total moment = 18.03 Bohr magnetons per cell
Energy above the lowest structure with this stoichiometry = 10.9 kJ/mol of atoms
Space group = R-3m, No. 166
ΔE_f = 25 kJ/mol of atoms


Computed, not measured: a relaxed structure of CaLu3Re at the PBE level of DFT. Values from VASP.

```
&SYSTEM
  ibrav = 0, nat = 5, ntyp = 3
/
ATOMIC_SPECIES
Ca 40.08 Ca.upf
Lu 174.97 Lu.upf
Re 186.21 Re.upf
ATOMIC_POSITIONS crystal
Ca 0.0000 0.0000 0.0000
Lu 0.0000 0.5000 0.5000
Lu 0.5000 0.0000 0.5000
Lu 0.5000 0.5000 0.0000
Re 0.5000 0.5000 0.5000
CELL_PARAMETERS angstrom
5.3858 0.0000 0.0000
0.0000 5.3858 0.0000
0.0000 0.0000 5.3858
```

Calculated values
E = -27.26 eV per cell
Size of the total moment = 0.00 Bohr magnetons per cell
Space group = Pm-3m, No. 221
ΔE_f = 15 kJ/mol of atoms


Computed, not measured: a relaxed structure of CaLuRh at the PBE level of DFT. Values from VASP.

```
&SYSTEM
  ibrav = 0, nat = 6, ntyp = 3
/
ATOMIC_SPECIES
Ca 40.08 Ca.upf
Lu 174.97 Lu.upf
Rh 102.91 Rh.upf
ATOMIC_POSITIONS crystal
Ca 0.0000 0.0000 0.0000
Ca 0.5000 0.5000 0.5000
Lu 0.0000 0.0000 0.2579
Lu 0.5000 0.5000 0.7579
Rh 0.0000 0.0000 0.6481
Rh 0.5000 0.5000 0.1481
CELL_PARAMETERS angstrom
3.3939 0.0000 0.0000
0.0000 3.3939 0.0000
0.0000 0.0000 13.0462
```

Calculated values
E = -30.95 eV per cell
Size of the total moment = 0.00 Bohr magnetons per cell
Energy above the lowest structure with this stoichiometry = 0.0 kJ/mol of atoms
Space group = I4mm, No. 107
ΔE_f = -51 kJ/mol of atoms


Computed, not measured: a relaxed structure of CaLuRh at the PBE level of DFT. Values from VASP.

```
&SYSTEM
  ibrav = 0, nat = 12, ntyp = 3
/
ATOMIC_SPECIES
Ca 40.08 Ca.upf
Lu 174.97 Lu.upf
Rh 102.91 Rh.upf
ATOMIC_POSITIONS crystal
Ca 0.0000 0.0000 0.0000
Ca 0.0000 0.5000 0.5000
Ca 0.5000 0.0000 0.5000
Ca 0.5000 0.5000 0.0000
Lu 0.0000 0.0000 0.5000
Lu 0.0000 0.5000 0.0000
Lu 0.5000 0.0000 0.0000
Lu 0.5000 0.5000 0.5000
Rh 0.2500 0.2500 0.2500
Rh 0.2500 0.7500 0.7500
Rh 0.7500 0.2500 0.7500
Rh 0.7500 0.7500 0.2500
CELL_PARAMETERS angstrom
6.7496 0.0000 0.0000
0.0000 6.7496 0.0000
0.0000 0.0000 6.7496
```

Calculated values
E = -61.12 eV per cell
Size of the total moment = 0.00 Bohr magnetons per cell
Energy above the lowest structure with this stoichiometry = 6.2 kJ/mol of atoms
Space group = F-43m, No. 216
ΔE_f = -45 kJ/mol of atoms


Computed, not measured: a relaxed structure of CaLuRuRh at the PBE level of DFT. Values from VASP.

```
&SYSTEM
  ibrav = 0, nat = 16, ntyp = 4
/
ATOMIC_SPECIES
Ca 40.08 Ca.upf
Lu 174.97 Lu.upf
Ru 101.07 Ru.upf
Rh 102.91 Rh.upf
ATOMIC_POSITIONS crystal
Ca 0.0000 0.0000 0.0000
Ca 0.0000 0.5000 0.5000
Ca 0.5000 0.0000 0.5000
Ca 0.5000 0.5000 0.0000
Lu 0.0000 0.0000 0.5000
Lu 0.0000 0.5000 0.0000
Lu 0.5000 0.0000 0.0000
Lu 0.5000 0.5000 0.5000
Ru 0.2500 0.2500 0.2500
Ru 0.2500 0.7500 0.7500
Ru 0.7500 0.2500 0.7500
Ru 0.7500 0.7500 0.2500
Rh 0.2500 0.2500 0.7500
Rh 0.2500 0.7500 0.2500
Rh 0.7500 0.2500 0.2500
Rh 0.7500 0.7500 0.7500
CELL_PARAMETERS angstrom
6.7357 0.0000 0.0000
0.0000 6.7357 0.0000
0.0000 0.0000 6.7357
```

Calculated values
E = -97.34 eV per cell
Size of the total moment = 0.00 Bohr magnetons per cell
Space group = F-43m, No. 216
ΔE_f = -29 kJ/mol of atoms


Computed, not measured: a relaxed structure of CaLuTlRh at the PBE level of DFT. Values from VASP.

```
&SYSTEM
  ibrav = 0, nat = 16, ntyp = 4
/
ATOMIC_SPECIES
Ca 40.08 Ca.upf
Lu 174.97 Lu.upf
Tl 204.38 Tl.upf
Rh 102.91 Rh.upf
ATOMIC_POSITIONS crystal
Ca 0.0000 0.0000 0.0000
Ca 0.0000 0.5000 0.5000
Ca 0.5000 0.0000 0.5000
Ca 0.5000 0.5000 0.0000
Lu 0.0000 0.0000 0.5000
Lu 0.0000 0.5000 0.0000
Lu 0.5000 0.0000 0.0000
Lu 0.5000 0.5000 0.5000
Tl 0.2500 0.2500 0.2500
Tl 0.2500 0.7500 0.7500
Tl 0.7500 0.2500 0.7500
Tl 0.7500 0.7500 0.2500
Rh 0.2500 0.2500 0.7500
Rh 0.2500 0.7500 0.2500
Rh 0.7500 0.2500 0.2500
Rh 0.7500 0.7500 0.7500
CELL_PARAMETERS angstrom
7.1646 0.0000 0.0000
0.0000 7.1646 0.0000
0.0000 0.0000 7.1646
```

Calculated values
E = -71.24 eV per cell
Size of the total moment = 0.00 Bohr magnetons per cell
Space group = F-43m, No. 216
ΔE_f = -38 kJ/mol of atoms


Computed, not measured: a relaxed structure of CaLu2Ru at the PBE level of DFT. Values from VASP.

```
&SYSTEM
  ibrav = 0, nat = 12, ntyp = 3
/
ATOMIC_SPECIES
Ca 40.08 Ca.upf
Lu 174.97 Lu.upf
Ru 101.07 Ru.upf
ATOMIC_POSITIONS crystal
Ca 0.0000 0.0000 0.0000
Ca 0.3333 0.6667 0.6667
Ca 0.6667 0.3333 0.3333
Lu 0.0000 0.0000 0.2186
Lu 0.0000 0.0000 0.7814
Lu 0.3333 0.6667 0.4481
Lu 0.3333 0.6667 0.8853
Lu 0.6667 0.3333 0.1147
Lu 0.6667 0.3333 0.5519
Ru 0.0000 0.0000 0.5000
Ru 0.3333 0.6667 0.1667
Ru 0.6667 0.3333 0.8333
CELL_PARAMETERS angstrom
3.9615 0.0000 0.0000
-1.9807 3.4307 0.0000
0.0000 0.0000 26.9002
```

Calculated values
E = -62.16 eV per cell
Size of the total moment = 0.00 Bohr magnetons per cell
Energy above the lowest structure with this stoichiometry = 19.3 kJ/mol of atoms
Space group = R-3m, No. 166
ΔE_f = -10 kJ/mol of atoms


Computed, not measured: a relaxed structure of CaLu2Ru at the PBE level of DFT. Values from VASP.

```
&SYSTEM
  ibrav = 0, nat = 4, ntyp = 3
/
ATOMIC_SPECIES
Ca 40.08 Ca.upf
Lu 174.97 Lu.upf
Ru 101.07 Ru.upf
ATOMIC_POSITIONS crystal
Ca 0.0000 0.0000 0.0000
Lu 0.5000 0.5000 0.3272
Lu 0.5000 0.5000 0.6728
Ru 0.0000 0.0000 0.5000
CELL_PARAMETERS angstrom
3.3991 0.0000 0.0000
0.0000 3.3991 0.0000
0.0000 0.0000 9.1949
```

Calculated values
E = -21.52 eV per cell
Size of the total moment = 0.00 Bohr magnetons per cell
Energy above the lowest structure with this stoichiometry = 0.0 kJ/mol of atoms
Space group = P4/mmm, No. 123
ΔE_f = -29 kJ/mol of atoms